Compound: Ac3Dy2Cd2
Source: Alexandria via LeMat-Bulk
Functional: PBE-GGA
Structure: relaxed

Cell: 5.3242 3.7451 12.4415 Å, 90.00 77.65 90.00°
Last column: nearest neighbours and their distance in Å.
Positions (direct):
1 Dy 0.2867 0.5000 0.4267  2 Dy 3.20, 1 Cd 3.42
2 Ac 0.0000 0.0000 0.0000  4 Ac 3.64-3.75, 8 Cd 3.71
3 Ac 0.8503 0.0000 0.2993  6 Dy 3.60-3.82, 3 Ac 3.64-3.75, 4 Cd 3.75
4 Ac 0.1497 0.0000 0.7007  6 Dy 3.60-3.82, 3 Ac 3.64-3.75, 4 Cd 3.75
5 Cd 0.4272 0.5000 0.1457  1 Dy 3.42, 3 Cd 3.54-3.75, 8 Ac 3.71-3.75
6 Dy 0.7133 0.5000 0.5733  2 Dy 3.20, 1 Cd 3.42
7 Cd 0.5728 0.5000 0.8543  1 Dy 3.42, 3 Cd 3.54-3.75, 8 Ac 3.71-3.75

Calculated values
formation enthalpy at 0 K: -0.1 eV per formula unit
crystal system: orthorhombic
calculated density: 8.43 g/cm3
SG: Cmmm (65)
calculated volume: 242.3 Å³/cell
DOS(E_F): 8.5 states/eV/cell

Compound: BaTl2Si
Source: Alexandria via LeMat-Bulk
Functional: PBE-GGA
Structure: relaxed

Cell: 6.0318 6.0318 6.0318 Å, 131.19 131.19 71.51°
Last column: nearest neighbours and their distance in Å.
Positions (direct):
1 Si 0.7500 0.2500 0.5000  8 Tl 3.49, 4 Ba 3.52
2 Tl 0.0000 0.0000 0.0000  4 Si 3.49, 4 Ba 3.49, 4 Tl 3.52
3 Tl 0.5000 0.5000 0.0000  4 Ba 3.49, 4 Si 3.49, 4 Tl 3.52
4 Ba 0.2500 0.7500 0.5000  8 Tl 3.49, 4 Si 3.52

Calculated values
crystal system: tetragonal
calculated density: 7.84 g/cm3
ΔE_f (raw): 4 kJ/mol of formula units
SG: I4/mmm (139)
calculated volume: 121.6 Å³/cell
DOS(E_F): 2.4 states/eV/cell

Compound: AcZn4Cu
Source: Alexandria via LeMat-Bulk
Functional: PBE-GGA
Structure: relaxed

Cell: 5.5003 5.5003 5.5003 Å, 60.00 60.00 60.00°
Last column: nearest neighbours and their distance in Å.
Positions (direct):
1 Zn 0.1188 0.6271 0.6271  6 Zn 2.70-2.80
2 Zn 0.6271 0.6271 0.6271  6 Zn 2.70-2.80
3 Ac 0.2500 0.2500 0.2500  12 Zn 3.23, 4 Cu 3.37
4 Cu 0.0000 0.0000 0.0000  12 Zn 3.22, 4 Ac 3.37
5 Zn 0.6271 0.1188 0.6271  6 Zn 2.70-2.80
6 Zn 0.6271 0.6271 0.1188  6 Zn 2.70-2.80

Calculated values
formation enthalpy at 0 K: -0.1 eV per formula unit
crystal system: cubic
calculated density: 7.79 g/cm3
SG: F-43m (216)
calculated volume: 117.7 Å³/cell
DOS(E_F): 5.4 states/eV/cell

Compound: UTl2VCl8
Source: Alexandria via LeMat-Bulk
Functional: PBE-GGA
Structure: relaxed

Cell: 7.3135 6.6417 7.8402 Å, 89.94 90.05 92.23°
Last column: nearest neighbours and their distance in Å.
Positions (direct):
1 Cl 0.1163 0.7787 0.7671  1 V 2.51, 1 U 2.71
2 Cl 0.8838 0.2214 0.7666  1 V 2.51, 1 U 2.71
3 Cl 0.2854 0.1886 0.0001  1 V 2.39
4 Tl 0.4999 0.5002 0.2300  6 Cl 3.12-3.42
5 V 0.0000 0.0000 0.0000  6 Cl 2.39-2.51
6 U 0.0000 0.0000 0.5000  6 Cl 2.63-2.71
7 Cl 0.3146 0.2069 0.5001  1 U 2.63
8 Tl 0.5001 0.4998 0.7700  6 Cl 3.12-3.42
9 Cl 0.7146 0.8114 0.9999  1 V 2.39
10 Cl 0.8837 0.2213 0.2329  1 V 2.51, 1 U 2.71
11 Cl 0.6854 0.7931 0.4999  1 U 2.63
12 Cl 0.1162 0.7786 0.2334  1 V 2.51, 1 U 2.71

Calculated values
crystal system: triclinic
calculated density: 4.28 g/cm3
ΔE_f (raw): -1527 kJ/mol of formula units
SG: P-1 (2)
calculated volume: 380.5 Å³/cell
DOS(E_F): 14.7 states/eV/cell